Here is an optimized crystal structure of FeAsPbSe2 from Alexandria. Energies are from PBE.

Properties
N(E_F): 7.63 states/eV/f.u.
Crystal system: tetragonal
E_form (uncorrected): 1.218 eV/atom
Energy above the lowest structure with this stoichiometry: 1111.1 meV/atom
DFT total energy: -3.540 eV/atom

a = 5.429 Å, b = 5.429 Å, c = 5.369 Å
α = 90.00°, β = 90.00°, γ = 90.00°
Space group P4/mmm (No. 123)
Inequivalent atoms, fractional coordinates:
1 Fe 0.000 0.000 0.000
2 As 0.500 0.500 0.000
3 Pb 0.500 0.500 0.500
4 Se 0.000 0.500 0.500